LiTaNi2: optimized geometry, PBE-GGA.

abc: 2.6417 2.6417 8.0502
angles: 90.00 90.00 98.60
With the nearest neighbours (Å) after each atom.
Positions (direct):
Li1 0.5000 0.5000 0.7875  4 Ni 2.53-2.73, 4 Li 2.64
Ni1 0.0000 0.0000 0.0181  8 Ni 2.40-2.64, 2 Li 2.53
Ni2 0.5000 0.5000 0.2256  8 Ni 2.40-2.64, 2 Ta 2.61
Ta1 0.0000 0.0000 0.4688  4 Ni 2.61-2.80, 4 Ta 2.64

## Properties
The calculation puts the formation energy at 0.616 eV per formula unit. The value obtained for the total energy is -6.1782 eV/atom. For the size of the total moment, the calculation gives 0.00 μB/cell.